BaAsAu: relaxed, PBE.

Geometry as extended XYZ:
```
6
Lattice="-1.923 2.098 3.832 2.110 -5.161 0.910 7.208 2.240 2.390" Properties=species:S:1:pos:R:3 pbc="T T T"
Ba 2.882 -0.502 1.589
Au 6.181 1.824 4.945
As 2.388 -3.459 2.959
Au 0.794 -1.958 4.309
Ba 6.347 -1.567 3.912
As 4.014 0.551 4.555
```

Properties
The calculation puts the energy relative to the elements at -0.78 eV per atom. The space group is Cm.